The following is a DFT calculation (GGA-PBE) of an optimized crystal structure of AgPb4ClO4.

Output
raw formation energy = -1000 meV per atom
density of states at the Fermi level = 0.0 states/eV/cell
space-group type = P4/n (85)
total magnetic moment = 0.000 μB per atom

```
20
Lattice="8.4950 0.0000 0.0000 0.0000 8.4950 0.0000 0.0000 0.0000 6.5551" Properties=species:S:1:pos:R:3 pbc="T T T"
Ag 2.1237 2.1237 0.7059
Ag 6.3712 6.3712 5.8493
Pb 0.4323 5.1639 1.4568
Pb 0.9164 8.0627 5.0984
Pb 3.3311 4.6798 5.0984
Pb 3.8152 7.5786 1.4568
Pb 4.6798 0.9164 5.0984
Pb 5.1639 3.8152 1.4568
Pb 7.5786 0.4323 1.4568
Pb 8.0627 3.3311 5.0984
Cl 2.1237 2.1237 3.2484
Cl 6.3712 6.3712 3.3068
O 0.0092 7.1281 0.4411
O 1.3669 4.2567 6.1140
O 2.8806 8.4858 6.1140
O 4.2383 5.6144 0.4411
O 4.2567 2.8806 6.1140
O 5.6144 0.0092 0.4411
O 7.1281 4.2383 0.4411
O 8.4858 1.3669 6.1140
```

---

The following is a DFT calculation (GGA-PBE) of an optimized crystal structure of Ag3Pd2Cl3O2.

Output
raw formation energy = -200 meV per atom
density of states at the Fermi level = 7.3 states/eV/cell
space-group type = I4/mmm (139)
total magnetic moment = 0.000 μB per atom

```
10
Lattice="-2.0752 2.0752 11.0639 2.0752 -2.0752 11.0639 2.0752 2.0752 -11.0639" Properties=species:S:1:pos:R:3 pbc="T T T"
Ag 0.0000 0.0000 0.0000
Ag 0.0000 0.0000 8.4002
Ag 0.0000 0.0000 13.7276
Pd 2.0752 0.0000 5.5319
Pd 0.0000 2.0752 5.5319
Cl 0.0000 0.0000 2.5682
Cl 0.0000 0.0000 11.0639
Cl 0.0000 0.0000 19.5596
O 0.0000 0.0000 5.9355
O 0.0000 0.0000 16.1922
```

---

The following is a DFT calculation (GGA-PBE) of an optimized crystal structure of PmAg2ClO2.

Output
raw formation energy = -1335 meV per atom
space-group type = Cmcm (63)
total magnetic moment = 0.000 μB per atom

```
12
Lattice="5.7274 -3.0049 0.0000 5.7274 3.0049 0.0000 0.0000 0.0000 6.2555" Properties=species:S:1:pos:R:3 pbc="T T T"
Pm 5.7274 2.2505 4.6916
Pm 5.7274 -2.2505 1.5639
Ag 3.1522 1.2382 1.5639
Ag 3.1522 -1.2382 4.6916
Ag 8.3026 1.2382 1.5639
Ag 8.3026 -1.2382 4.6916
Cl 5.7274 0.5263 1.5639
Cl 5.7274 -0.5263 4.6916
O 1.5377 0.0000 0.0000
O 1.5377 0.0000 3.1277
O 9.9170 0.0000 0.0000
O 9.9170 0.0000 3.1277
```

---

The following is a DFT calculation (GGA-PBE) of an optimized crystal structure of Pr2AgCl2O2.

Output
raw formation energy = -2308 meV per atom
density of states at the Fermi level = 0.4 states/eV/cell
space-group type = P-3m1 (164)
total magnetic moment = 0.000 μB per atom

```
7
Lattice="3.9831 0.0000 0.0000 -1.9916 3.4495 0.0000 0.0000 0.0000 13.9560" Properties=species:S:1:pos:R:3 pbc="T T T"
Pr 0.0000 2.2997 1.5256
Pr 1.9916 1.1498 12.4304
Ag 0.0000 0.0000 6.9780
Cl 0.0000 0.0000 3.3218
Cl 0.0000 0.0000 10.6343
O 0.0000 2.2997 13.0690
O 1.9916 1.1498 0.8870
```

---

What did the third record say?
The following is a DFT calculation (GGA-PBE) of an optimized crystal structure of PmAg2ClO2.

Output
raw formation energy = -1335 meV per atom
space-group type = Cmcm (63)
total magnetic moment = 0.000 μB per atom

```
12
Lattice="5.7274 -3.0049 0.0000 5.7274 3.0049 0.0000 0.0000 0.0000 6.2555" Properties=species:S:1:pos:R:3 pbc="T T T"
Pm 5.7274 2.2505 4.6916
Pm 5.7274 -2.2505 1.5639
Ag 3.1522 1.2382 1.5639
Ag 3.1522 -1.2382 4.6916
Ag 8.3026 1.2382 1.5639
Ag 8.3026 -1.2382 4.6916
Cl 5.7274 0.5263 1.5639
Cl 5.7274 -0.5263 4.6916
O 1.5377 0.0000 0.0000
O 1.5377 0.0000 3.1277
O 9.9170 0.0000 0.0000
O 9.9170 0.0000 3.1277
```